A plane-wave DFT calculation with GGA-PBE was carried out for a relaxed structure of CaTiPt.

Structure (CIF):
```
data_CaTiPt
_chemical_formula_sum 'Ca2 Ti2 Pt2'
_cell_length_a 4.440
_cell_length_b 4.440
_cell_length_c 6.970
_cell_angle_alpha 90.00
_cell_angle_beta 90.00
_cell_angle_gamma 90.00
_space_group_name_H-M_alt 'P 4/n m m'
_space_group_IT_number 129
loop_
_space_group_symop_operation_xyz
'x,y,z'
'-x,-y,-z'
'-y+1/2,x,z'
'y+1/2,-x,-z'
'-x+1/2,-y+1/2,z'
'x+1/2,y+1/2,-z'
'y,-x+1/2,z'
'-y,x+1/2,-z'
'x+1/2,-y,-z'
'-x+1/2,y,z'
'-y,-x,-z'
'y,x,z'
'-x,y+1/2,-z'
'x,-y+1/2,z'
'y+1/2,x+1/2,-z'
'-y+1/2,-x+1/2,z'
loop_
_atom_site_label
_atom_site_fract_x
_atom_site_fract_y
_atom_site_fract_z
_atom_site_occupancy
Ca1 0.250 0.250 0.141 1
Ti1 0.250 0.750 0.500 1
Pt1 0.250 0.250 0.684 1
```

---

A plane-wave DFT calculation with GGA-PBE was carried out for a relaxed structure of Y2NiPt.

Structure (CIF):
```
data_Y2NiPt
_chemical_formula_sum 'Y8 Ni4 Pt4'
_cell_length_a 7.387
_cell_length_b 7.387
_cell_length_c 6.634
_cell_angle_alpha 90.00
_cell_angle_beta 90.00
_cell_angle_gamma 90.00
_space_group_name_H-M_alt 'I -4 2 d'
_space_group_IT_number 122
_space_group_name_Hall 'I -4 2bw'
loop_
_atom_site_label
_atom_site_fract_x
_atom_site_fract_y
_atom_site_fract_z
_atom_site_occupancy
Y1 0.238 0.250 0.125 1
Ni1 0.000 0.000 0.000 1
Pt1 0.000 0.000 0.500 1
```

---

ΔE_f values (in eV per atom) by entry order: -0.73, -0.36.
Calculated density values (in g/cm3) by entry order: 6.841, 7.920.